8
Lattice="5.492 0.000 0.000 2.746 4.083 -0.502 2.746 -0.047 4.113" Properties=species:S:1:pos:R:3 comment="NaNi2GeO4 | Alexandria | GGA+U | optimized geometry" rho_g_cm3=4.99 total_magnetization_mub_per_cell=3.00 dft_energy_ha_per_atom=-0.1881 spacegroup="I222 (23)" pbc="T T T"
Na 2.746 4.083 -0.502
Ni 5.492 2.908 0.811
Ni 5.492 1.128 2.800
Ge 2.746 2.018 1.806
O 7.222 2.080 3.277
O 3.762 0.549 1.907
O 1.730 1.956 0.334
O 9.254 3.487 1.705